{
  "formula": "HfZn3Te",
  "functional": "PBE-GGA",
  "state": "relaxed",
  "lattice": [[5.2532, 0.0000, 0.0000], [0.0000, 5.2532, 0.0000], [0.0000, 0.0000, 5.2532]],
  "species": ["Zn", "Te", "Hf", "Zn", "Zn"],
  "fractional_positions": [[0.5000, 0.0000, 0.0000], [0.5000, 0.5000, 0.5000], [0.0000, 0.0000, 0.0000], [0.0000, 0.5000, 0.0000], [0.0000, 0.0000, 0.5000]],
  "total_energy_ev_per_atom": -2.550,
  "sg": "Pm-3m, No. 221",
  "magnetic_moment_mub_per_fu": 0.0,
  "e_form_raw_ev_per_fu": 4.17
}

{
  "formula": "Tb7Sm2Tm",
  "functional": "PBE-GGA",
  "state": "relaxed",
  "lattice": [[-1.0730, 3.2591, -0.7049], [6.0912, -0.8983, -13.4259], [-10.9492, -1.4850, 9.8018]],
  "species": ["Tb", "Tb", "Sm", "Tb", "Tb", "Tb", "Tb", "Sm", "Tb", "Tm"],
  "fractional_positions": [[0.5000, 0.8522, 0.6565], [0.5000, 0.5000, 0.5000], [0.5000, 0.7073, 0.2927], [0.5000, 0.3435, 0.1478], [0.0000, 0.8142, 0.1858], [0.5000, 0.6565, 0.8522], [0.0000, 0.1858, 0.8142], [0.5000, 0.2927, 0.7073], [0.5000, 0.1478, 0.3435], [0.0000, 0.0000, 0.0000]],
  "total_energy_ev_per_atom": -4.474,
  "e_form_ev_per_fu": 1.6,
  "sg": "Cmmm, No. 65",
  "magnetic_moment_mub_per_fu": 0.0
}

{
  "formula": "AcSm2Ho",
  "functional": "PBE-GGA",
  "state": "relaxed",
  "lattice": [[5.8233, -0.2895, 1.7006], [-0.3394, 5.6770, 2.1287], [1.6579, 1.3302, 5.3781]],
  "species": ["Sm", "Ho", "Ac", "Sm"],
  "fractional_positions": [[0.7503, 0.2501, 0.4997], [0.5001, 0.5001, 0.9998], [0.2498, 0.7499, 0.5001], [0.9999, 0.9998, 0.0003]],
  "total_energy_ev_per_atom": -4.406,
  "e_form_ev_per_fu": 0.5,
  "sg": "I-4m2, No. 119",
  "magnetic_moment_mub_per_fu": 0.0
}

{
  "formula": "LiZrIn",
  "functional": "PBE-GGA",
  "state": "relaxed",
  "lattice": [[-7.4598, -4.2646, 1.6394], [0.2289, -5.1786, -0.8180], [4.3330, -2.5157, 1.5608]],
  "species": ["Li", "Zr", "Li", "In", "Zr", "In"],
  "fractional_positions": [[0.0000, 0.8389, 0.8389], [0.5000, 0.8420, 0.8420], [0.0000, 0.1611, 0.1611], [0.5000, 0.5000, 0.5000], [0.5000, 0.1580, 0.1580], [0.0000, 0.5000, 0.5000]],
  "total_energy_ev_per_atom": -4.501,
  "e_form_ev_per_fu": -0.3,
  "sg": "C2/m, No. 12",
  "magnetic_moment_mub_per_fu": 0.0
}